Material: Ba2SnSe4
Method: DFT, PBE
State: optimized geometry

a = 8.6703 Å, b = 9.5086 Å, c = 12.5537 Å
α = 90.00°, β = 113.89°, γ = 90.00°
Last column: nearest neighbours and their distance in Å.
Space group P2_1/c (No. 14)
Symmetry-distinct sites (fractional):
Ba 0.0360 0.1497 0.3411 [4 per cell]  6 Se 3.23-3.52
Ba 0.4082 0.1130 0.1570 [4 per cell]  6 Se 3.31-3.66
Sn 0.3029 0.6864 0.9939 [4 per cell]  4 Se 2.55-2.59
Se 0.0749 0.6291 0.4607 [4 per cell]  1 Sn 2.55
Se 0.2551 0.6195 0.7850 [4 per cell]  1 Sn 2.56
Se 0.2634 0.0216 0.6115 [4 per cell]  1 Sn 2.57
Se 0.4106 0.1911 0.8932 [4 per cell]  1 Sn 2.59

Properties
E_form (uncorrected): -1.369 eV/atom
Mass density: 4.978 g/cm³

=====

Material: Sr3Mg2Zn2Ga4
Method: DFT, PBE
State: optimized geometry

a = 4.5531 Å, b = 4.5531 Å, c = 16.3278 Å
α = 90.00°, β = 90.00°, γ = 120.00°
Last column: nearest neighbours and their distance in Å.
Space group P-3m1 (No. 164)
Symmetry-distinct sites (fractional):
Sr 0.0000 0.0000 0.0000 [1 per cell]  6 Ga 3.36, 6 Zn 3.38
Sr 0.0000 0.0000 0.2609 [2 per cell]  6 Ga 3.30-3.40, 3 Zn 3.38
Mg 0.3333 0.6667 0.5576 [2 per cell]  4 Ga 2.80-2.85
Zn 0.3333 0.6667 0.1306 [2 per cell]  3 Ga 2.63
Ga 0.3333 0.6667 0.3830 [2 per cell]  4 Mg 2.80-2.85
Ga 0.3333 0.6667 0.8715 [2 per cell]  3 Zn 2.63

Properties
Formation enthalpy at 0 K: -0.24 eV per atom
Mass density: 4.085 g/cm³
DOS(E_F): 10.29 states/eV/f.u.